[1]
HfGe2H PBE-GGA relaxed; calculated density = 8.05 g/cm3; total magnetic moment = 0.0 μB per cell; space group = No. 225; relative energy among the computed polymorphs = 0.106 eV/atom
1.0
0.0000 3.2232 3.2232
3.2232 0.0000 3.2232
3.2232 3.2232 0.0000
Ge Hf H
2 1 1
Direct
0.7500 0.7500 0.7500
0.2500 0.2500 0.2500
0.5000 0.5000 0.5000
0.0000 0.0000 0.0000

=====

[2]
CuTeSe2 PBE-GGA relaxed; DFT total energy = -3.411 eV per atom; calculated density = 5.28 g/cm3; total magnetic moment = 0.0 μB per cell; space group = No. 122
1.0
5.7340 0.0000 0.0000
0.0000 5.7340 0.0000
2.8670 2.8670 6.6736
Se Te Cu
4 2 2
Direct
0.3750 0.4323 0.7500
0.5677 0.1250 0.2500
0.8750 0.8177 0.7500
0.1823 0.6250 0.2500
0.0000 0.0000 0.0000
0.7500 0.2500 0.5000
0.5000 0.5000 0.0000
0.2500 0.7500 0.5000

=====

[3]
Ac3B2Rh9 PBE-GGA relaxed; formation enthalpy at 0 K = -533 meV/atom; calculated density = 11.34 g/cm3; total magnetic moment = 0.0 μB per cell; space group = No. 164
1.0
6.0840 0.0000 0.0000
-3.0420 5.2689 0.0000
0.0000 0.0000 7.4417
Rh Ac B
9 3 2
Direct
0.1630 0.3260 0.6635
0.6740 0.8370 0.6635
0.8370 0.1630 0.3365
0.5000 0.0000 0.0000
0.0000 0.5000 0.0000
0.3260 0.1630 0.3365
0.5000 0.5000 0.0000
0.8370 0.6740 0.3365
0.1630 0.8370 0.6635
0.3333 0.6667 0.3349
0.6667 0.3333 0.6651
0.0000 0.0000 0.0000
0.6667 0.3333 0.1844
0.3333 0.6667 0.8156

=====

[4]
AlCrMoOs PBE-GGA relaxed; formation enthalpy at 0 K = -120 meV/atom; calculated density = 10.73 g/cm3; total magnetic moment = 1.1 μB per cell; space group = No. 216
1.0
4.3070 0.0000 0.0000
2.1535 3.7300 0.0000
2.1535 1.2433 3.5167
Os Mo Cr Al
1 1 1 1
Direct
0.2500 0.2500 0.2500
0.5000 0.5000 0.5000
0.7500 0.7500 0.7500
0.0000 0.0000 0.0000